Record 1
An optimized crystal structure of Pr4SnPd2. Source: the Alexandria database, functional PBE.

```
7
Lattice="2.4901 1.4377 9.8603 -2.4901 1.4377 9.8603 0.0000 -2.8753 9.8603" Properties=species:S:1:pos:R:3 pbc="T T T"
Pr 0.0000 0.0000 3.4523
Pr 0.0000 0.0000 8.7761
Pr 0.0000 0.0000 20.8047
Pr 0.0000 0.0000 26.1285
Sn 0.0000 0.0000 14.7904
Pd 0.0000 0.0000 11.8372
Pd 0.0000 0.0000 17.7436
```

Crystal system = trigonal
SG = R-3m, No. 166
Raw total energy = -5.32 eV/atom

Record 2
An optimized crystal structure of CeAlGa2Pd4. Source: the Alexandria database, functional PBE.

```
8
Lattice="2.1718 1.2539 8.5588 -2.1718 1.2539 8.5588 0.0000 -2.5077 8.5588" Properties=species:S:1:pos:R:3 pbc="T T T"
Ce 0.0000 0.0000 0.0000
Al 0.0000 0.0000 12.8383
Ga 0.0000 0.0000 6.2500
Ga 0.0000 0.0000 19.4266
Pd 0.0000 0.0000 3.4722
Pd 0.0000 0.0000 10.3201
Pd 0.0000 0.0000 15.3564
Pd 0.0000 0.0000 22.2044
```

Crystal system = trigonal
SG = R-3m, No. 166
Raw total energy = -5.31 eV/atom

Record 3
An optimized crystal structure of Tl3GaTe. Source: the Alexandria database, functional PBE.

```
5
Lattice="6.2290 0.0000 0.0000 0.0000 6.2290 0.0000 0.0000 0.0000 6.2290" Properties=species:S:1:pos:R:3 pbc="T T T"
Tl 0.0000 0.0000 3.1145
Tl 0.0000 3.1145 0.0000
Tl 3.1145 0.0000 0.0000
Ga 3.1145 3.1145 3.1145
Te 0.0000 0.0000 0.0000
```

Crystal system = cubic
SG = Pm-3m, No. 221
Energy above the lowest structure with this stoichiometry = 0.418 eV/atom

Short version: total magnetization = 0.00 0.10 0.00 μB per atom, in the order given.